Record 1
The following is a PBE-GGA calculation of a relaxed ZrAuBr crystal, from the Alexandria database.

Values from the calculation:
E_form (uncorrected) in eV/atom: -0.5777
Energy above the lowest structure with this stoichiometry in meV per atom: 0

Structure (CIF):
```
data_ZrAuBr
_chemical_formula_sum 'Zr1 Au1 Br1'
_space_group_name_H-M_alt 'P 3 m 1'
_space_group_IT_number 156
_cell_length_a 3.4182
_cell_length_b 3.4182
_cell_length_c 7.4440
_cell_angle_alpha 90.00
_cell_angle_beta 90.00
_cell_angle_gamma 120.00
loop_
_space_group_symop_operation_xyz
'x,y,z'
'-y,x-y,z'
'-x+y,-x,z'
'-y,-x,z'
'-x+y,y,z'
'x,x-y,z'
loop_
_atom_site_label
_atom_site_type_symbol
_atom_site_fract_x
_atom_site_fract_y
_atom_site_fract_z
Zr1 Zr 0.0000 0.0000 0.0000
Au1 Au 0.3333 0.6667 0.2770
Br1 Br 0.6667 0.3333 0.7385
```

---

Record 2
The following is a PBE-GGA calculation of a relaxed BiIr2Br crystal, from the Alexandria database.

Values from the calculation:
E_form (uncorrected) in eV/atom: 0.9295
Energy above the lowest structure with this stoichiometry in meV per atom: 124

Structure (CIF):
```
data_BiIr2Br
_chemical_formula_sum 'Bi4 Ir8 Br4'
_space_group_name_H-M_alt 'F m -3 m'
_space_group_IT_number 225
_space_group_name_Hall '-F 4 2 3'
_cell_length_a 6.732
_cell_length_b 6.732
_cell_length_c 6.732
_cell_angle_alpha 90.00
_cell_angle_beta 90.00
_cell_angle_gamma 90.00
loop_
_atom_site_label
_atom_site_type_symbol
_atom_site_fract_x
_atom_site_fract_y
_atom_site_fract_z
Bi1 Bi 0.000 0.000 0.000
Ir1 Ir 0.250 0.250 0.250
Br1 Br 0.000 0.000 0.500
```

---

Record 3
The following is a PBE-GGA calculation of a relaxed Na3Cd4Ge2 crystal, from the Alexandria database.

Values from the calculation:
ΔH_f (0 K) in eV/atom: -0.08

Structure (CIF):
```
data_Na3Cd4Ge2
_chemical_formula_sum 'Na6 Cd8 Ge4'
_space_group_name_H-M_alt 'C 1 2/m 1'
_space_group_IT_number 12
_cell_length_a 10.843
_cell_length_b 4.848
_cell_length_c 9.150
_cell_angle_alpha 90.00
_cell_angle_beta 119.18
_cell_angle_gamma 90.00
loop_
_space_group_symop_operation_xyz
'x,y,z'
'-x,-y,-z'
'-x,y,-z'
'x,-y,z'
'x+1/2,y+1/2,z'
'-x+1/2,-y+1/2,-z'
'-x+1/2,y+1/2,-z'
'x+1/2,-y+1/2,z'
loop_
_atom_site_label
_atom_site_type_symbol
_atom_site_fract_x
_atom_site_fract_y
_atom_site_fract_z
Na1 Na 0.000 0.000 0.000
Na2 Na 0.160 0.500 0.672
Cd1 Cd 0.086 0.000 0.414
Cd2 Cd 0.189 0.500 0.032
Ge1 Ge 0.109 0.500 0.277
```

---

Record 4
The following is a PBE-GGA calculation of a relaxed Nd2TeO5 crystal, from the Alexandria database.

Values from the calculation:
E_form (uncorrected) in eV/atom: -2.4959

Structure (CIF):
```
data_Nd2TeO5
_chemical_formula_sum 'Nd8 Te4 O20'
_space_group_name_H-M_alt 'P 1 21/c 1'
_space_group_IT_number 14
_cell_length_a 10.158
_cell_length_b 7.296
_cell_length_c 6.814
_cell_angle_alpha 90.00
_cell_angle_beta 100.05
_cell_angle_gamma 90.00
loop_
_space_group_symop_operation_xyz
'x,y,z'
'-x,-y,-z'
'-x,y+1/2,-z+1/2'
'x,-y+1/2,z+1/2'
loop_
_atom_site_label
_atom_site_type_symbol
_atom_site_fract_x
_atom_site_fract_y
_atom_site_fract_z
Nd1 Nd 0.040 0.122 0.247
Nd2 Nd 0.370 0.133 0.068
Te1 Te 0.285 0.606 0.092
O1 O 0.084 0.650 0.940
O2 O 0.131 0.106 0.947
O3 O 0.285 0.077 0.376
O4 O 0.386 0.714 0.480
O5 O 0.424 0.072 0.743
```

---

Record 5
The following is a PBE-GGA calculation of a relaxed Cd2Ir2Ru crystal, from the Alexandria database.

Values from the calculation:
ΔH_f (0 K) in eV/atom: 0.41

Structure (CIF):
```
data_Cd2Ir2Ru
_chemical_formula_sum 'Cd4 Ir4 Ru2'
_space_group_name_H-M_alt 'P 4/m b m'
_space_group_IT_number 127
_space_group_name_Hall '-P 4 2ab'
_cell_length_a 6.534
_cell_length_b 6.534
_cell_length_c 4.321
_cell_angle_alpha 90.00
_cell_angle_beta 90.00
_cell_angle_gamma 90.00
loop_
_atom_site_label
_atom_site_type_symbol
_atom_site_fract_x
_atom_site_fract_y
_atom_site_fract_z
Cd1 Cd 0.176 0.324 0.000
Ir1 Ir 0.131 0.631 0.500
Ru1 Ru 0.000 0.000 0.500
```

---

Record 6
The following is a PBE-GGA calculation of a relaxed AlCrAs crystal, from the Alexandria database.

Values from the calculation:
Energy above the lowest structure with this stoichiometry in meV per atom: 0
ΔH_f (0 K) in eV/atom: -0.16

Structure (CIF):
```
data_AlCrAs
_chemical_formula_sum 'Al2 Cr2 As2'
_space_group_name_H-M_alt 'I 4 m m'
_space_group_IT_number 107
_space_group_name_Hall 'I 4 -2'
_cell_length_a 3.186
_cell_length_b 3.186
_cell_length_c 8.145
_cell_angle_alpha 90.00
_cell_angle_beta 90.00
_cell_angle_gamma 90.00
loop_
_atom_site_label
_atom_site_type_symbol
_atom_site_fract_x
_atom_site_fract_y
_atom_site_fract_z
Al1 Al 0.000 0.000 0.000
Cr1 Cr 0.000 0.000 0.326
As1 As 0.000 0.000 0.682
```

---

Record 7
The following is a PBE-GGA calculation of a relaxed TcHgGeOsW crystal, from the Alexandria database.

Values from the calculation:
Energy above the lowest structure with this stoichiometry in meV per atom: 174
ΔH_f (0 K) in eV/atom: 0.38

Structure (CIF):
```
data_TcHgGeOsW
_chemical_formula_sum 'Tc2 Hg2 Ge2 Os2 W2'
_space_group_name_H-M_alt 'C 1 m 1'
_space_group_IT_number 8
_cell_length_a 10.715
_cell_length_b 2.920
_cell_length_c 5.538
_cell_angle_alpha 90.00
_cell_angle_beta 92.31
_cell_angle_gamma 90.00
loop_
_space_group_symop_operation_xyz
'x,y,z'
'x,-y,z'
'x+1/2,y+1/2,z'
'x+1/2,-y+1/2,z'
loop_
_atom_site_label
_atom_site_type_symbol
_atom_site_fract_x
_atom_site_fract_y
_atom_site_fract_z
Tc1 Tc 0.000 0.000 0.000
Hg1 Hg 0.395 0.500 0.497
Ge1 Ge 0.142 0.500 0.272
Os1 Os 0.134 0.500 0.716
W1 W 0.286 0.000 0.978
```

---

Record 8
The following is a PBE-GGA calculation of a relaxed HoHfAgHg crystal, from the Alexandria database.

Values from the calculation:
ΔH_f (0 K) in eV/atom: -0.11

Structure (CIF):
```
data_HoHfAgHg
_chemical_formula_sum 'Ho4 Hf4 Ag4 Hg4'
_space_group_name_H-M_alt 'F -4 3 m'
_space_group_IT_number 216
_space_group_name_Hall 'F -4 2 3'
_cell_length_a 7.108
_cell_length_b 7.108
_cell_length_c 7.108
_cell_angle_alpha 90.00
_cell_angle_beta 90.00
_cell_angle_gamma 90.00
loop_
_atom_site_label
_atom_site_type_symbol
_atom_site_fract_x
_atom_site_fract_y
_atom_site_fract_z
Ho1 Ho 0.000 0.000 0.000
Hf1 Hf 0.000 0.000 0.500
Ag1 Ag 0.250 0.250 0.750
Hg1 Hg 0.250 0.250 0.250
```

---

Record 9
The following is a PBE-GGA calculation of a relaxed LiHoGa2 crystal, from the Alexandria database.

Values from the calculation:
Energy above the lowest structure with this stoichiometry in meV per atom: 328
ΔH_f (0 K) in eV/atom: -0.15

Structure (CIF):
```
data_LiHoGa2
_chemical_formula_sum 'Li3 Ho3 Ga6'
_space_group_name_H-M_alt 'R -3 m'
_space_group_IT_number 166
_space_group_name_Hall '-R 3 2"'
_cell_length_a 3.3831
_cell_length_b 3.3831
_cell_length_c 26.4409
_cell_angle_alpha 90.00
_cell_angle_beta 90.00
_cell_angle_gamma 120.00
loop_
_atom_site_label
_atom_site_type_symbol
_atom_site_fract_x
_atom_site_fract_y
_atom_site_fract_z
Li1 Li 0.0000 0.0000 0.0000
Ho1 Ho 0.0000 0.0000 0.5000
Ga1 Ga 0.0000 0.0000 0.2551
```

---

Record 10
The following is a PBE-GGA calculation of a relaxed LiPr4Hg2 crystal, from the Alexandria database.

Values from the calculation:
Energy above the lowest structure with this stoichiometry in meV per atom: 48
ΔH_f (0 K) in eV/atom: -0.11

Structure (CIF):
```
data_LiPr4Hg2
_chemical_formula_sum 'Li3 Pr12 Hg6'
_space_group_name_H-M_alt 'R -3 m'
_space_group_IT_number 166
_space_group_name_Hall '-R 3 2"'
_cell_length_a 5.4018
_cell_length_b 5.4018
_cell_length_c 26.3252
_cell_angle_alpha 90.00
_cell_angle_beta 90.00
_cell_angle_gamma 120.00
loop_
_atom_site_label
_atom_site_type_symbol
_atom_site_fract_x
_atom_site_fract_y
_atom_site_fract_z
Li1 Li 0.0000 0.0000 0.0000
Pr1 Pr 0.0000 0.0000 0.2155
Pr2 Pr 0.0000 0.0000 0.3726
Hg1 Hg 0.0000 0.0000 0.0949
```

---

Record 11
The following is a PBE-GGA calculation of a relaxed LaNbH3 crystal, from the Alexandria database.

Values from the calculation:
Energy above the lowest structure with this stoichiometry in meV per atom: 0

Structure (CIF):
```
data_LaNbH3
_chemical_formula_sum 'La1 Nb1 H3'
_space_group_name_H-M_alt 'P m -3 m'
_space_group_IT_number 221
_space_group_name_Hall '-P 4 2 3'
_cell_length_a 3.923
_cell_length_b 3.923
_cell_length_c 3.923
_cell_angle_alpha 90.00
_cell_angle_beta 90.00
_cell_angle_gamma 90.00
loop_
_atom_site_label
_atom_site_type_symbol
_atom_site_fract_x
_atom_site_fract_y
_atom_site_fract_z
La1 La 0.000 0.000 0.000
Nb1 Nb 0.500 0.500 0.500
H1 H 0.000 0.500 0.500
```

---

Record 12
The following is a PBE-GGA calculation of a relaxed Th4AsAuS2 crystal, from the Alexandria database.

Values from the calculation:
E_form (uncorrected) in eV/atom: -1.3692

Structure (CIF):
```
data_Th4AsAuS2
_chemical_formula_sum 'Th4 As1 Au1 S2'
_space_group_name_H-M_alt 'P 1 2/m 1'
_space_group_IT_number 10
_cell_length_a 7.181
_cell_length_b 4.147
_cell_length_c 7.337
_cell_angle_alpha 90.00
_cell_angle_beta 109.25
_cell_angle_gamma 90.00
loop_
_space_group_symop_operation_xyz
'x,y,z'
'-x,-y,-z'
'-x,y,-z'
'x,-y,z'
loop_
_atom_site_label
_atom_site_type_symbol
_atom_site_fract_x
_atom_site_fract_y
_atom_site_fract_z
Th1 Th 0.237 0.000 0.242
Th2 Th 0.237 0.500 0.750
As1 As 0.500 0.000 0.000
Au1 Au 0.500 0.500 0.500
S1 S 0.000 0.000 0.500
S2 S 0.000 0.500 0.000
```